PuInTcRu (PBE, optimized geometry); DOS at the Fermi energy = 1.504 states/eV/atom; space group = F-43m (216); ΔH_f (0 K) = -0.059 eV/atom
1.0
-0.697 0.041 -4.617
2.242 -3.056 -2.727
-2.356 -3.479 -2.036
Ru In Tc Pu
1 1 1 1
Direct
0.250 0.250 0.250
0.000 0.000 0.000
0.750 0.750 0.750
0.500 0.500 0.500

---

LaHg3Se (PBE, optimized geometry); uncorrected energy = -1.399 eV/atom; DOS at the Fermi energy = 1.369 states/eV/atom; space group = Pm-3m (221)
1.0
-3.943 -4.547 0.641
4.590 -3.931 0.338
0.163 0.707 6.009
Hg Se La
3 1 1
Direct
0.000 0.500 0.000
0.000 0.000 0.500
0.500 0.000 0.000
0.500 0.500 0.500
0.000 0.000 0.000

---

Te3RhCl (PBE, optimized geometry); uncorrected energy = -2.518 eV/atom; DOS at the Fermi energy = 1.518 states/eV/atom; space group = Pm-3m (221)
1.0
-1.604 2.869 -4.150
-3.347 -3.863 -1.378
-3.775 2.207 2.985
Te Rh Cl
3 1 1
Direct
0.000 0.500 0.000
0.000 0.000 0.500
0.500 0.000 0.000
0.500 0.500 0.500
0.000 0.000 0.000